The following is a DFT calculation (PBE) of a relaxed structure of NdY4Th5.

Output
* formation energy: 39 meV/atom

Cell: 12.891 12.891 7.144 Å, 98.34 98.34 16.04°
Fractional positions:
1 Nd 0.000 0.000 0.000
2 Y 0.201 0.201 0.102
3 Y 0.399 0.399 0.692
4 Y 0.601 0.601 0.308
5 Y 0.799 0.799 0.898
6 Th 0.000 0.000 0.500
7 Th 0.200 0.200 0.601
8 Th 0.399 0.399 0.209
9 Th 0.601 0.601 0.791
10 Th 0.800 0.800 0.399



The following is a DFT calculation (PBE) of a relaxed structure of Nd7Y4Th.

Output
* formation energy: 149 meV/atom

Cell: 6.180 7.063 10.122 Å, 69.70 89.94 89.96°
Fractional positions:
1 Nd 0.000 0.000 0.000
2 Nd 0.245 0.290 0.419
3 Nd 0.253 0.815 0.368
4 Nd 0.254 0.466 0.069
5 Nd 0.746 0.534 0.931
6 Nd 0.747 0.185 0.632
7 Nd 0.755 0.710 0.581
8 Y 0.252 0.400 0.726
9 Y 0.253 0.875 0.725
10 Y 0.747 0.125 0.275
11 Y 0.748 0.600 0.274
12 Th 0.500 0.000 0.000